A relaxed Os2RuAu crystal. Source: Alexandria, functional PBE.

Results
Energy relative to the elements in eV/atom: 0.5570
Space group: Cmmm, No. 65
Crystal system: orthorhombic
Energy above the most stable polymorph in this dataset in kJ per mole of atoms: 26.9

a = 4.795 Å, b = 4.795 Å, c = 2.770 Å
α = 90.00°, β = 90.00°, γ = 110.06°
Atoms (fractional coordinates):
1 Os 0.000 0.500 0.000
2 Os 0.500 0.000 0.000
3 Ru 0.000 0.000 0.500
4 Au 0.500 0.500 0.500